Record 1
Compound: Y4AlCoC2
Source: OQMD via LeMat-Bulk
Functional: PBE
Structure: optimized geometry

Output
Total energy in eV/cell: -55.94
SG: P-6m2

a = 3.578 Å, b = 3.578 Å, c = 14.791 Å
α = 90.00°, β = 90.00°, γ = 120.00°
Site moments in Bohr magnetons follow the coordinates.
Element x y z (fractional)
Al1 0.000 0.000 0.000  0.04
C1 0.333 0.667 0.266  -0.01
C2 0.333 0.667 0.734  -0.01
Co1 0.667 0.333 0.500  -1.20
Y1 0.667 0.333 0.178  0.09
Y2 0.000 0.000 0.362  0.10
Y3 0.000 0.000 0.638  0.10
Y4 0.667 0.333 0.822  0.09


Record 2
Compound: Zn3P2O8
Source: OQMD via LeMat-Bulk
Functional: PBE
Structure: optimized geometry

Output
Total energy in eV/cell: -158.66
SG: C2/c
E above lowest polymorph in eV/atom: 0.000

a = 4.954 Å, b = 4.954 Å, c = 14.800 Å
α = 102.47°, β = 102.47°, γ = 69.05°
Element x y z (fractional)
O1 0.117 0.321 0.063
O2 0.416 0.800 0.081
O3 0.945 0.029 0.145
O4 0.358 0.211 0.226
O5 0.789 0.642 0.274
O6 0.971 0.055 0.355
O7 0.200 0.584 0.419
O8 0.679 0.883 0.437
O9 0.321 0.117 0.563
O10 0.800 0.416 0.581
O11 0.029 0.945 0.645
O12 0.211 0.358 0.726
O13 0.642 0.789 0.774
O14 0.055 0.971 0.855
O15 0.584 0.200 0.919
O16 0.883 0.679 0.937
P1 0.222 0.086 0.130
P2 0.914 0.778 0.370
P3 0.086 0.222 0.630
P4 0.778 0.914 0.870
Zn1 0.815 0.707 0.069
Zn2 0.728 0.272 0.250
Zn3 0.293 0.185 0.431
Zn4 0.707 0.815 0.569
Zn5 0.272 0.728 0.750
Zn6 0.185 0.293 0.931


Record 3
Compound: DyFeB4
Source: OQMD via LeMat-Bulk
Functional: PBE
Structure: optimized geometry

Output
Total energy in eV/cell: -173.23
SG: Pbam
E above lowest polymorph in eV/atom: 0.000

a = 5.881 Å, b = 11.380 Å, c = 3.374 Å
α = 90.00°, β = 90.00°, γ = 90.00°
Element x y z (fractional)
B1 0.861 0.032 0.500
B2 0.389 0.046 0.500
B3 0.783 0.183 0.500
B4 0.476 0.190 0.500
B5 0.976 0.310 0.500
B6 0.283 0.317 0.500
B7 0.889 0.454 0.500
B8 0.361 0.468 0.500
B9 0.639 0.532 0.500
B10 0.111 0.546 0.500
B11 0.717 0.683 0.500
B12 0.024 0.690 0.500
B13 0.524 0.810 0.500
B14 0.217 0.817 0.500
B15 0.611 0.954 0.500
B16 0.139 0.968 0.500
Dy1 0.127 0.150 0.000
Dy2 0.627 0.350 0.000
Dy3 0.373 0.650 0.000
Dy4 0.873 0.850 0.000
Fe1 0.633 0.088 0.000
Fe2 0.133 0.412 0.000
Fe3 0.867 0.588 0.000
Fe4 0.367 0.912 0.000


Record 4
Compound: GeAsPtO
Source: OQMD via LeMat-Bulk
Functional: PBE
Structure: optimized geometry

Output
Total energy in eV/cell: -44.85
SG: P4/nmm
E above lowest polymorph in eV/atom: 0.006

a = 3.813 Å, b = 3.813 Å, c = 9.490 Å
α = 90.00°, β = 90.00°, γ = 90.00°
Element x y z (fractional)
As1 0.500 0.000 0.325
As2 0.000 0.500 0.675
Ge1 0.000 0.500 0.102
Ge2 0.500 0.000 0.898
O1 0.000 0.000 0.000
O2 0.500 0.500 0.000
Pt1 0.000 0.000 0.500
Pt2 0.500 0.500 0.500


Record 5
Compound: ReTcNO
Source: OQMD via LeMat-Bulk
Functional: PBE
Structure: optimized geometry

Output
Total energy in eV/cell: -148.10
SG: Pca2_1
E above lowest polymorph in eV/atom: 0.251

a = 4.765 Å, b = 5.488 Å, c = 7.288 Å
α = 90.00°, β = 90.00°, γ = 90.00°
Element x y z (fractional)
N1 0.694 0.094 0.178
N2 0.194 0.406 0.178
N3 0.694 0.594 0.822
N4 0.194 0.906 0.822
O1 0.551 0.618 0.464
O2 0.051 0.882 0.464
O3 0.551 0.118 0.536
O4 0.051 0.382 0.536
Re1 0.042 0.123 0.025
Re2 0.542 0.377 0.025
Re3 0.042 0.623 0.975
Re4 0.542 0.877 0.975
Tc1 0.916 0.597 0.328
Tc2 0.416 0.903 0.328
Tc3 0.916 0.097 0.672
Tc4 0.416 0.403 0.672


Record 6
Compound: YHo2Mg4Tl2
Source: OQMD via LeMat-Bulk
Functional: PBE
Structure: optimized geometry

Output
Total energy in eV/cell: -28.71
SG: Amm2

a = 4.638 Å, b = 7.573 Å, c = 7.573 Å
α = 120.12°, β = 90.00°, γ = 90.00°
Element x y z (fractional)
Ho1 0.000 0.000 0.436
Ho2 0.000 0.436 0.000
Mg1 0.000 0.001 0.001
Mg2 0.500 0.242 0.242
Mg3 0.500 0.000 0.758
Mg4 0.500 0.758 0.000
Tl1 0.500 0.667 0.332
Tl2 0.500 0.332 0.667
Y1 0.000 0.564 0.564


Record 7
Compound: AcHoAsO
Source: OQMD via LeMat-Bulk
Functional: PBE
Structure: optimized geometry

Output
Total energy in eV/cell: -49.33
SG: P4/nmm
E above lowest polymorph in eV/atom: 0.441

a = 4.548 Å, b = 4.548 Å, c = 9.033 Å
α = 90.00°, β = 90.00°, γ = 90.00°
Element x y z (fractional)
Ac1 0.750 0.250 0.500
Ac2 0.250 0.750 0.500
As1 0.750 0.750 0.269
As2 0.250 0.250 0.731
Ho1 0.250 0.250 0.073
Ho2 0.750 0.750 0.927
O1 0.750 0.250 0.000
O2 0.250 0.750 0.000


Record 8
Compound: BaCoMoAu
Source: OQMD via LeMat-Bulk
Functional: PBE
Structure: optimized geometry

Output
Total energy in eV/cell: -19.47
SG: F-43m
E above lowest polymorph in eV/atom: 0.000

a = 4.989 Å, b = 4.989 Å, c = 4.989 Å
α = 60.00°, β = 60.00°, γ = 60.00°
Element x y z (fractional)
Au1 0.750 0.750 0.750
Ba1 0.500 0.500 0.500
Co1 0.250 0.250 0.250
Mo1 0.000 0.000 0.000


Record 9
Compound: BaCd2InGe
Source: OQMD via LeMat-Bulk
Functional: PBE
Structure: optimized geometry

Output
Total energy in eV/cell: -12.88
SG: I4mm
E above lowest polymorph in eV/atom: 0.007

a = 6.945 Å, b = 6.945 Å, c = 6.945 Å
α = 139.80°, β = 139.80°, γ = 58.15°
Element x y z (fractional)
Ba1 0.995 0.995 0.000
Cd1 0.753 0.253 0.500
Cd2 0.253 0.753 0.500
Ge1 0.386 0.386 0.000
In1 0.612 0.612 0.000


Record 10
Compound: Sm3In3Ir2Pt
Source: OQMD via LeMat-Bulk
Functional: PBE
Structure: optimized geometry

Output
Total energy in eV/cell: -53.04
SG: P-62m

a = 7.582 Å, b = 7.582 Å, c = 4.052 Å
α = 90.00°, β = 90.00°, γ = 120.00°
Element x y z (fractional)
In1 0.744 0.000 0.500
In2 0.256 0.256 0.500
In3 0.000 0.744 0.500
Ir1 0.667 0.333 0.500
Ir2 0.333 0.667 0.500
Pt1 0.000 0.000 0.000
Sm1 0.410 0.000 0.000
Sm2 0.000 0.410 0.000
Sm3 0.590 0.590 0.000


Record 11
Compound: DyY2Al3Si2Pd
Source: OQMD via LeMat-Bulk
Functional: PBE
Structure: optimized geometry

Output
Total energy in eV/cell: -52.01
SG: Amm2

a = 4.249 Å, b = 6.896 Å, c = 6.896 Å
α = 120.00°, β = 90.00°, γ = 90.00°
Element x y z (fractional)
Al1 0.500 0.239 0.000
Al2 0.500 0.000 0.239
Al3 0.500 0.761 0.761
Dy1 0.000 0.418 0.418
Pd1 0.000 0.001 0.001
Si1 0.500 0.666 0.333
Si2 0.500 0.333 0.666
Y1 0.000 0.582 0.000
Y2 0.000 0.000 0.582


Record 12
Compound: Gd3Sn4Pb3
Source: OQMD via LeMat-Bulk
Functional: PBE
Structure: optimized geometry

Output
Total energy in eV/cell: -45.85
SG: Cmmm
E above lowest polymorph in eV/atom: 0.000

a = 13.113 Å, b = 13.113 Å, c = 4.701 Å
α = 90.00°, β = 90.00°, γ = 159.98°
Element x y z (fractional)
Gd1 0.689 0.311 0.000
Gd2 0.500 0.500 0.000
Gd3 0.311 0.689 0.000
Pb1 0.000 0.000 0.500
Pb2 0.599 0.401 0.500
Pb3 0.401 0.599 0.500
Sn1 0.903 0.097 0.000
Sn2 0.097 0.903 0.000
Sn3 0.790 0.210 0.500
Sn4 0.210 0.790 0.500


Record 13
Compound: HgP
Source: OQMD via LeMat-Bulk
Functional: PBE
Structure: optimized geometry

Output
Total energy in eV/cell: -18.60
SG: Pmma
E above lowest polymorph in eV/atom: 0.068

a = 6.457 Å, b = 5.142 Å, c = 5.405 Å
α = 90.00°, β = 90.00°, γ = 90.00°
Element x y z (fractional)
Hg1 0.250 0.000 0.001
Hg2 0.000 0.500 0.500
Hg3 0.500 0.500 0.500
Hg4 0.750 0.000 0.999
P1 0.750 0.500 0.147
P2 0.250 0.000 0.489
P3 0.750 0.000 0.511
P4 0.250 0.500 0.853


Record 14
Compound: Y2CdO4
Source: OQMD via LeMat-Bulk
Functional: PBE
Structure: optimized geometry

Output
Total energy in eV/cell: -106.07
SG: Fd-3m

a = 6.746 Å, b = 6.746 Å, c = 6.746 Å
α = 119.99°, β = 90.01°, γ = 119.99°
Element x y z (fractional)
Cd1 0.000 0.000 0.000
Cd2 0.750 0.500 0.250
O1 0.160 0.774 0.387
O2 0.613 0.226 0.387
O3 0.613 0.774 0.387
O4 0.137 0.274 0.410
O5 0.613 0.226 0.840
O6 0.137 0.726 0.863
O7 0.590 0.726 0.863
O8 0.137 0.274 0.863
Y1 0.375 0.750 0.125
Y2 0.375 0.750 0.625
Y3 0.375 0.250 0.625
Y4 0.875 0.250 0.625


Record 15
Compound: PaHgO3
Source: OQMD via LeMat-Bulk
Functional: PBE
Structure: optimized geometry

Output
Total energy in eV/cell: -137.10
SG: Pnma

a = 6.021 Å, b = 6.173 Å, c = 8.622 Å
α = 90.00°, β = 90.00°, γ = 90.00°
Element x y z (fractional)
Hg1 0.990 0.027 0.250
Hg2 0.510 0.527 0.250
Hg3 0.490 0.473 0.750
Hg4 0.010 0.973 0.750
O1 0.706 0.291 0.033
O2 0.794 0.791 0.033
O3 0.426 0.001 0.250
O4 0.074 0.501 0.250
O5 0.706 0.291 0.467
O6 0.794 0.791 0.467
O7 0.206 0.209 0.533
O8 0.294 0.709 0.533
O9 0.926 0.499 0.750
O10 0.574 0.999 0.750
O11 0.206 0.209 0.967
O12 0.294 0.709 0.967
Pa1 0.500 0.000 0.000
Pa2 0.000 0.500 0.000
Pa3 0.500 0.000 0.500
Pa4 0.000 0.500 0.500


Record 16
Compound: Li3TaSe4
Source: OQMD via LeMat-Bulk
Functional: PBE
Structure: optimized geometry

Output
Total energy in eV/cell: -38.78
SG: I-43m

a = 6.112 Å, b = 6.112 Å, c = 6.112 Å
α = 109.47°, β = 109.47°, γ = 109.47°
Element x y z (fractional)
Li1 0.500 0.500 0.000
Li2 0.500 0.000 0.500
Li3 0.000 0.500 0.500
Se1 0.605 0.000 0.000
Se2 0.000 0.605 0.000
Se3 0.395 0.395 0.395
Se4 0.000 0.000 0.605
Ta1 0.000 0.000 0.000


Record 17
Compound: PrCuTe3Pb
Source: OQMD via LeMat-Bulk
Functional: PBE
Structure: optimized geometry

Output
Total energy in eV/cell: -103.85
SG: Pnma

a = 4.478 Å, b = 12.532 Å, c = 12.662 Å
α = 90.00°, β = 90.00°, γ = 90.00°
Element x y z (fractional)
Cu1 0.750 0.766 0.207
Cu2 0.750 0.266 0.293
Cu3 0.250 0.734 0.707
Cu4 0.250 0.234 0.793
Pb1 0.250 0.801 0.018
Pb2 0.250 0.301 0.482
Pb3 0.750 0.699 0.518
Pb4 0.750 0.199 0.982
Pr1 0.250 0.468 0.189
Pr2 0.250 0.968 0.311
Pr3 0.750 0.032 0.689
Pr4 0.750 0.532 0.811
Te1 0.750 0.606 0.062
Te2 0.750 0.960 0.129
Te3 0.250 0.211 0.190
Te4 0.250 0.711 0.310
Te5 0.750 0.460 0.371
Te6 0.750 0.106 0.438
Te7 0.250 0.894 0.562
Te8 0.250 0.540 0.629
Te9 0.750 0.289 0.690
Te10 0.750 0.789 0.810
Te11 0.250 0.040 0.871
Te12 0.250 0.394 0.938


Record 18
Compound: ZrF4
Source: OQMD via LeMat-Bulk
Functional: PBE
Structure: optimized geometry

Output
Total energy in eV/cell: -136.73
SG: P2_1/c

a = 5.483 Å, b = 5.572 Å, c = 7.878 Å
α = 90.00°, β = 107.37°, γ = 90.00°
Element x y z (fractional)
F1 0.146 0.163 0.031
F2 0.663 0.230 0.049
F3 0.990 0.528 0.197
F4 0.466 0.522 0.217
F5 0.534 0.022 0.283
F6 0.010 0.028 0.303
F7 0.337 0.730 0.451
F8 0.854 0.663 0.469
F9 0.146 0.337 0.531
F10 0.663 0.270 0.549
F11 0.990 0.972 0.697
F12 0.466 0.978 0.717
F13 0.534 0.478 0.783
F14 0.010 0.472 0.803
F15 0.337 0.770 0.951
F16 0.854 0.837 0.969
Zr1 0.212 0.823 0.168
Zr2 0.788 0.323 0.332
Zr3 0.212 0.677 0.668
Zr4 0.788 0.177 0.832


Record 19
Compound: Er3LuIn2C2
Source: OQMD via LeMat-Bulk
Functional: PBE
Structure: optimized geometry

Output
Total energy in eV/cell: -45.61
SG: P3m1

a = 3.550 Å, b = 3.550 Å, c = 16.152 Å
α = 90.00°, β = 90.00°, γ = 120.00°
Element x y z (fractional)
C1 0.333 0.667 0.500
C2 0.333 0.667 0.999
Er1 0.667 0.333 0.081
Er2 0.667 0.333 0.417
Er3 0.000 0.000 0.583
In1 0.000 0.000 0.250
In2 0.667 0.333 0.752
Lu1 0.000 0.000 0.918


Record 20
Compound: In2AgHg
Source: OQMD via LeMat-Bulk
Functional: PBE
Structure: optimized geometry

Output
Total energy in eV/cell: -8.25
SG: F-43m

a = 5.139 Å, b = 5.139 Å, c = 5.139 Å
α = 60.00°, β = 60.00°, γ = 60.00°
Element x y z (fractional)
Ag1 0.000 0.000 0.000
Hg1 0.250 0.250 0.250
In1 0.500 0.500 0.500
In2 0.750 0.750 0.750


Record 21
Compound: HfCuPt2
Source: OQMD via LeMat-Bulk
Functional: PBE
Structure: optimized geometry

Output
Total energy in eV/cell: -28.14
Formation energy in kJ/mol of formula units: -227
SG: F-43m

a = 4.500 Å, b = 4.500 Å, c = 4.500 Å
α = 60.00°, β = 60.00°, γ = 60.00°
Element x y z (fractional)
Cu1 0.750 0.750 0.750
Hf1 0.500 0.500 0.500
Pt1 0.000 0.000 0.000
Pt2 0.250 0.250 0.250


Ordered V results: 20.50, 12.59, 9.41, 17.25, 11.91, 25.56, 23.36, 21.95, 27.66, 22.41, 19.44, 27.67, 22.43, 15.51, 16.02, 21.97, 29.61, 11.48, 22.04, 23.99, 16.11; unit A^3/atom.